Here is Tl2Hg2Te3 after structural relaxation from OQMD via LeMat-Bulk. Energies are from GGA-PBE.

Output
- Relative energy among the computed polymorphs: 0.000 eV per atom
- Crystal system: cubic
- Volume: 30.10 Å³ per atom
- Theoretical density: 9.40 Mg/m³

Cell lengths 8.180, 8.180, 8.180 Å; angles 109.47, 109.47, 109.47 degrees
Sites, in units of the cell vectors:
Hg 0.866 0.500 0.000
Hg 0.000 0.866 0.500
Hg 0.634 0.634 0.634
Hg 0.500 0.000 0.866
Te 0.750 0.861 0.111
Te 0.639 0.389 0.250
Te 0.250 0.639 0.389
Te 0.389 0.250 0.639
Te 0.861 0.111 0.750
Te 0.111 0.750 0.861
Tl 0.339 0.500 0.000
Tl 0.161 0.161 0.161
Tl 0.500 0.000 0.339
Tl 0.000 0.339 0.500


Here is DyNiHg after structural relaxation from OQMD via LeMat-Bulk. Energies are from GGA-PBE.

Output
- Crystal system: cubic
- Calculated formation energy: 0.173 eV/atom
- Volume: 25.07 Å³ per atom
- Theoretical density: 9.31 Mg/m³

Cell lengths 4.738, 4.738, 4.738 Å; angles 60.00, 60.00, 60.00 degrees
Sites, in units of the cell vectors:
Dy 0.000 0.000 0.000
Hg 0.250 0.250 0.250
Ni 0.750 0.750 0.750


Here is CoSb2Pb after structural relaxation from OQMD via LeMat-Bulk. Energies are from GGA-PBE.

Output
- Crystal system: cubic
- Volume: 23.19 Å³ per atom
- Theoretical density: 9.12 Mg/m³
- Uncorrected energy: -16.68 eV per cell

Cell lengths 5.081, 5.081, 5.081 Å; angles 60.00, 60.00, 60.00 degrees
Sites, in units of the cell vectors:
Co 0.250 0.250 0.250
Pb 0.500 0.500 0.500
Sb 0.000 0.000 0.000
Sb 0.750 0.750 0.750


Here is KZrTe3Au after structural relaxation from OQMD via LeMat-Bulk. Energies are from GGA-PBE.

Output
- Crystal system: orthorhombic
- Volume: 31.78 Å³ per atom
- Theoretical density: 6.18 Mg/m³
- Uncorrected energy: -108.27 eV per cell

Cell lengths 16.068, 4.219, 11.251 Å; angles 90.00, 90.00, 90.00 degrees
Sites, in units of the cell vectors:
Au 0.489 0.750 0.100
Au 0.989 0.750 0.400
Au 0.011 0.250 0.600
Au 0.511 0.250 0.900
K 0.265 0.250 0.054
K 0.765 0.250 0.446
K 0.235 0.750 0.554
K 0.735 0.750 0.946
Te 0.088 0.750 0.064
Te 0.606 0.250 0.129
Te 0.863 0.750 0.235
Te 0.363 0.750 0.265
Te 0.106 0.250 0.371
Te 0.588 0.750 0.436
Te 0.412 0.250 0.564
Te 0.894 0.750 0.629
Te 0.637 0.250 0.735
Te 0.137 0.250 0.765
Te 0.394 0.750 0.871
Te 0.912 0.250 0.936
Zr 0.987 0.250 0.184
Zr 0.487 0.250 0.316
Zr 0.513 0.750 0.684
Zr 0.013 0.750 0.816


Here is LiLuPa after structural relaxation from OQMD via LeMat-Bulk. Energies are from GGA-PBE.

Output
- Relative energy among the computed polymorphs: 0.000 eV per atom
- Crystal system: cubic
- Volume: 25.69 Å³ per atom
- Theoretical density: 8.90 Mg/m³

Cell lengths 4.777, 4.777, 4.777 Å; angles 60.00, 60.00, 60.00 degrees
Last column: magnetic moment on the atom in μB.
Sites, in units of the cell vectors:
Li 0.000 0.000 0.000  0.03
Lu 0.250 0.250 0.250  0.21
Pa 0.750 0.750 0.750  0.93


Here is BW2N5 after structural relaxation from OQMD via LeMat-Bulk. Energies are from GGA-PBE.

Output
- Relative energy among the computed polymorphs: 0.000 eV per atom
- Crystal system: orthorhombic
- Volume: 11.68 Å³ per atom
- Theoretical density: 7.97 Mg/m³

Cell lengths 8.005, 8.129, 5.745 Å; angles 90.00, 90.00, 90.00 degrees
Sites, in units of the cell vectors:
B 0.275 0.240 0.000
B 0.725 0.760 0.000
B 0.775 0.260 0.500
B 0.225 0.740 0.500
N 0.417 0.116 0.000
N 0.121 0.120 0.000
N 0.594 0.358 0.000
N 0.406 0.642 0.000
N 0.879 0.880 0.000
N 0.583 0.884 0.000
N 0.288 0.347 0.224
N 0.712 0.653 0.224
N 0.788 0.153 0.276
N 0.212 0.847 0.276
N 0.094 0.142 0.500
N 0.621 0.380 0.500
N 0.917 0.384 0.500
N 0.083 0.616 0.500
N 0.379 0.620 0.500
N 0.906 0.858 0.500
N 0.788 0.153 0.724
N 0.212 0.847 0.724
N 0.288 0.347 0.776
N 0.712 0.653 0.776
W 0.662 0.114 0.000
W 0.338 0.886 0.000
W 0.500 0.500 0.246
W 0.000 0.000 0.254
W 0.162 0.386 0.500
W 0.838 0.614 0.500
W 0.000 0.000 0.746
W 0.500 0.500 0.754


> What is the theoretical density in the second record?

9.31 Mg/m³


> The highest theoretical density belongs to which entry?

Tl2Hg2Te3